First-principles (PBE+U) data for a relaxed structure of CoO2F3, as listed in Alexandria.

Summary:
Space-group type: C2/m (12)
Uncorrected energy: -3.8426 eV/atom

Cell lengths 3.7844, 5.9407, 8.0602 Å; angles 102.35, 103.58, 90.00 degrees
Element x y z (fractional)
Co 0.0000 0.2500 0.0000
Co 0.0000 0.7500 0.0000
O 0.2724 0.3439 0.5445
O 0.2720 0.8439 0.5445
O 0.7280 0.1561 0.4555
O 0.7276 0.6561 0.4555
F 0.5000 0.7500 0.0000
F 0.5000 0.2500 0.0000
F 0.9169 0.9516 0.8339
F 0.0831 0.5484 0.1661
F 0.9169 0.4516 0.8339
F 0.0831 0.0484 0.1661